TaCo2Se, relaxed, DFT PBE; raw formation energy = 0.137 eV/atom
1.0
-3.310 -2.801 -1.734
-0.911 -3.475 2.984
0.235 4.632 0.542
Co Se Ta
2 1 1
direct
0.000 0.000 0.000
0.500 0.500 0.000
0.250 0.750 0.500
0.750 0.250 0.500